Compound: La4Te2AsSe
Source: Alexandria via LeMat-Bulk
Functional: GGA-PBE
Structure: optimized geometry

Unit cell a=7.663 b=4.425 c=7.849 alpha=90.00 beta=108.97 gamma=90.00
Fractional coordinates of all 8 atoms:
La (0.237, 0.000, 0.223)
La (0.255, 0.500, 0.776)
La (0.745, 0.500, 0.224)
La (0.763, 0.000, 0.777)
Te (0.000, 0.000, 0.500)
Te (0.500, 0.500, 0.500)
As (0.000, 0.500, 0.000)
Se (0.500, 0.000, 0.000)

Calculated values
Formation energy without anion corrections, eV/atom: -1.73
Calculated total energy, eV per atom: -5.996
SG: P2/m, No. 10